Entry 1:
A PBEsol-optimized structure of RbInTcBi2. Source: Alexandria, functional meta-GGA SCAN.

CIF file:
```
data_RbInTcBi2
_space_group_name_H-M_alt 'P 4/m m m'
_space_group_IT_number 123
_space_group_name_Hall '-P 4 2'
_cell_length_a 5.8239
_cell_length_b 5.8239
_cell_length_c 5.2103
_cell_angle_alpha 90.00
_cell_angle_beta 90.00
_cell_angle_gamma 90.00
loop_
_atom_site_label
_atom_site_type_symbol
_atom_site_fract_x
_atom_site_fract_y
_atom_site_fract_z
Rb1 Rb 0.0000 0.0000 0.0000
In1 In 0.5000 0.5000 0.5000
Tc1 Tc 0.5000 0.5000 0.0000
Bi1 Bi 0.0000 0.5000 0.5000
```

Output
Fermi-level density of states (states/eV/cell): 3.3
Crystal system: tetragonal
Total magnetization (μB/f.u.): 3.71
Volume (Å³ per cell): 177
DFT formation energy (kcal/mol of atoms): 18.39



Entry 2:
A PBEsol-optimized structure of Tc3NiMo. Source: Alexandria, functional meta-GGA SCAN.

CIF file:
```
data_Tc3NiMo
_space_group_name_H-M_alt 'P m -3 m'
_space_group_IT_number 221
_space_group_name_Hall '-P 4 2 3'
_cell_length_a 4.5117
_cell_length_b 4.5117
_cell_length_c 4.5117
_cell_angle_alpha 90.00
_cell_angle_beta 90.00
_cell_angle_gamma 90.00
loop_
_atom_site_label
_atom_site_type_symbol
_atom_site_fract_x
_atom_site_fract_y
_atom_site_fract_z
Tc1 Tc 0.0000 0.0000 0.5000
Ni1 Ni 0.5000 0.5000 0.5000
Mo1 Mo 0.0000 0.0000 0.0000
```

Output
Fermi-level density of states (states/eV/cell): 5.7
Crystal system: cubic
Total magnetization (μB/f.u.): 0.00
Volume (Å³ per cell): 92
DFT formation energy (kcal/mol of atoms): 48.08



Entry 3:
A PBEsol-optimized structure of Li2AgMo. Source: Alexandria, functional meta-GGA SCAN.

CIF file:
```
data_Li2AgMo
_space_group_name_H-M_alt 'P m m m'
_space_group_IT_number 47
_cell_length_a 2.6084
_cell_length_b 4.8083
_cell_length_c 4.9357
_cell_angle_alpha 90.00
_cell_angle_beta 90.00
_cell_angle_gamma 90.00
loop_
_space_group_symop_operation_xyz
'x,y,z'
'-x,-y,-z'
'-x,-y,z'
'x,y,-z'
'x,-y,-z'
'-x,y,z'
'-x,y,-z'
'x,-y,z'
loop_
_atom_site_label
_atom_site_type_symbol
_atom_site_fract_x
_atom_site_fract_y
_atom_site_fract_z
Li1 Li 0.0000 0.0000 0.0000
Li2 Li 0.5000 0.0000 0.5000
Ag1 Ag 0.0000 0.5000 0.5000
Mo1 Mo 0.5000 0.5000 0.0000
```

Output
Distance to the lowest polymorph of the same formula (meV/atom): 43
Fermi-level density of states (states/eV/cell): 2.2
Crystal system: orthorhombic
Total magnetization (μB/f.u.): 0.00
Volume (Å³ per cell): 62
DFT formation energy (kcal/mol of atoms): 9.09



Entry 4:
A PBEsol-optimized structure of RbZrOs3. Source: Alexandria, functional meta-GGA SCAN.

CIF file:
```
data_RbZrOs3
_space_group_name_H-M_alt 'P m -3 m'
_space_group_IT_number 221
_space_group_name_Hall '-P 4 2 3'
_cell_length_a 4.6235
_cell_length_b 4.6235
_cell_length_c 4.6235
_cell_angle_alpha 90.00
_cell_angle_beta 90.00
_cell_angle_gamma 90.00
loop_
_atom_site_label
_atom_site_type_symbol
_atom_site_fract_x
_atom_site_fract_y
_atom_site_fract_z
Rb1 Rb 0.0000 0.0000 0.0000
Zr1 Zr 0.5000 0.5000 0.5000
Os1 Os 0.0000 0.0000 0.5000
```

Output
Fermi-level density of states (states/eV/cell): 4.2
Crystal system: cubic
Total magnetization (μB/f.u.): 0.00
Volume (Å³ per cell): 99
DFT formation energy (kcal/mol of atoms): 79.67



Entry 5:
A PBEsol-optimized structure of ReIr2Cl. Source: Alexandria, functional meta-GGA SCAN.

CIF file:
```
data_ReIr2Cl
_space_group_name_H-M_alt 'C 1 m 1'
_space_group_IT_number 8
_cell_length_a 8.6962
_cell_length_b 2.7601
_cell_length_c 6.3879
_cell_angle_alpha 90.00
_cell_angle_beta 94.88
_cell_angle_gamma 90.00
loop_
_space_group_symop_operation_xyz
'x,y,z'
'x,-y,z'
'x+1/2,y+1/2,z'
'x+1/2,-y+1/2,z'
loop_
_atom_site_label
_atom_site_type_symbol
_atom_site_fract_x
_atom_site_fract_y
_atom_site_fract_z
Re1 Re 0.0000 0.0000 0.0000
Ir1 Ir 0.2310 0.5000 0.1454
Ir2 Ir 0.4615 0.0000 0.3324
Cl1 Cl 0.4204 0.0000 0.6971
```

Output
Distance to the lowest polymorph of the same formula (meV/atom): 89
Fermi-level density of states (states/eV/cell): 6.8
Crystal system: monoclinic
Total magnetization (μB/f.u.): 0.00
Volume (Å³ per cell): 153
Uncorrected formation energy (meV/atom): 439.3



Entry 6:
A PBEsol-optimized structure of Zn2FeOs. Source: Alexandria, functional meta-GGA SCAN.

CIF file:
```
data_Zn2FeOs
_space_group_name_H-M_alt 'I -4 m 2'
_space_group_IT_number 119
_space_group_name_Hall 'I -4 -2'
_cell_length_a 3.8567
_cell_length_b 3.8567
_cell_length_c 6.8972
_cell_angle_alpha 90.00
_cell_angle_beta 90.00
_cell_angle_gamma 90.00
loop_
_atom_site_label
_atom_site_type_symbol
_atom_site_fract_x
_atom_site_fract_y
_atom_site_fract_z
Zn1 Zn 0.0000 0.0000 0.0000
Zn2 Zn 0.0000 0.5000 0.2500
Fe1 Fe 0.0000 0.0000 0.5000
Os1 Os 0.0000 0.5000 0.7500
```

Output
Distance to the lowest polymorph of the same formula (meV/atom): 37
Fermi-level density of states (states/eV/cell): 4.7
Crystal system: tetragonal
Total magnetization (μB/f.u.): 3.31
Volume (Å³ per cell): 103
DFT formation energy (kcal/mol of atoms): 3.03



Entry 7:
A PBEsol-optimized structure of NaAsRhW2. Source: Alexandria, functional meta-GGA SCAN.

CIF file:
```
data_NaAsRhW2
_space_group_name_H-M_alt 'P 4/m m m'
_space_group_IT_number 123
_space_group_name_Hall '-P 4 2'
_cell_length_a 4.7638
_cell_length_b 4.7638
_cell_length_c 4.7440
_cell_angle_alpha 90.00
_cell_angle_beta 90.00
_cell_angle_gamma 90.00
loop_
_atom_site_label
_atom_site_type_symbol
_atom_site_fract_x
_atom_site_fract_y
_atom_site_fract_z
Na1 Na 0.0000 0.0000 0.0000
As1 As 0.5000 0.5000 0.0000
Rh1 Rh 0.5000 0.5000 0.5000
W1 W 0.0000 0.5000 0.5000
```

Output
Fermi-level density of states (states/eV/cell): 4.7
Crystal system: tetragonal
Total magnetization (μB/f.u.): 3.25
Volume (Å³ per cell): 108
DFT formation energy (kcal/mol of atoms): 39.50



Entry 8:
A PBEsol-optimized structure of KSbMo2. Source: Alexandria, functional meta-GGA SCAN.

CIF file:
```
data_KSbMo2
_space_group_name_H-M_alt 'C m m m'
_space_group_IT_number 65
_space_group_name_Hall '-C 2 2'
_cell_length_a 5.7886
_cell_length_b 9.8624
_cell_length_c 2.7623
_cell_angle_alpha 90.00
_cell_angle_beta 90.00
_cell_angle_gamma 90.00
loop_
_atom_site_label
_atom_site_type_symbol
_atom_site_fract_x
_atom_site_fract_y
_atom_site_fract_z
K1 K 0.0000 0.0000 0.0000
Sb1 Sb 0.0000 0.5000 0.0000
Mo1 Mo 0.2500 0.2500 0.5000
```

Output
Fermi-level density of states (states/eV/cell): 6.5
Crystal system: orthorhombic
Total magnetization (μB/f.u.): 0.00
Volume (Å³ per cell): 158
Uncorrected formation energy (meV/atom): 1404.3



Question: Number 8 is which compound?
Answer: KSbMo2



Question: Which of these has the highest total magnetization?
Answer: RbInTcBi2



Question: total magnetization of number 1 (RbInTcBi2)?
Answer: 3.71 μB/f.u.